[1]
Here is PaCu6Ni6 after structural relaxation from the Alexandria database. Energies are from PBE.

Unit cell a=4.7681 b=6.3316 c=6.3316 alpha=81.55 beta=67.88 gamma=67.88
Fractional coordinates of all 13 atoms:
1 Ni 0.5000 0.7925 0.2075
2 Ni 0.0000 0.5000 0.0000
3 Ni 0.0000 0.0000 0.5000
4 Ni 0.5000 0.2075 0.7925
5 Ni 0.5000 0.0000 0.5000
6 Ni 0.5000 0.5000 0.0000
7 Cu 0.7237 0.7763 0.7763
8 Cu 0.2763 0.2237 0.2237
9 Cu 0.0000 0.6488 0.3512
10 Cu 0.0000 0.3512 0.6488
11 Cu 0.6447 0.3553 0.3553
12 Cu 0.3553 0.6447 0.6447
13 Pa 0.0000 0.0000 0.0000

Summary:
energy of formation from the pure elements	-112	meV per atom
crystal system	orthorhombic
volume	12.62	Å³/atom
total DFT energy (no corrections)	-70.2	eV per cell

***

[2]
Here is La6Tb3Dy after structural relaxation from the Alexandria database. Energies are from PBE.

Unit cell a=6.5698 b=11.1918 c=11.1918 alpha=121.93 beta=90.00 gamma=90.00
Fractional coordinates of all 20 atoms:
1 Dy 0.6023 0.8108 0.1892
2 Dy 0.1023 0.1892 0.8108
3 La 0.3647 0.0717 0.4890
4 La 0.5510 0.2863 0.3664
5 La 0.0510 0.7137 0.6336
6 La 0.3647 0.5110 0.9283
7 La 0.1646 0.7152 0.2848
8 La 0.0510 0.3664 0.2863
9 La 0.8647 0.4890 0.0717
10 La 0.8647 0.9283 0.5110
11 La 0.8664 0.0313 0.9687
12 La 0.5510 0.6336 0.7137
13 La 0.6646 0.2848 0.7152
14 La 0.3664 0.9687 0.0313
15 Tb 0.5853 0.6148 0.3852
16 Tb 0.0853 0.3852 0.6148
17 Tb 0.4676 0.9462 0.7097
18 Tb 0.9676 0.7097 0.9462
19 Tb 0.9676 0.0538 0.2903
20 Tb 0.4676 0.2903 0.0538

Summary:
energy of formation from the pure elements	124	meV per atom
crystal system	orthorhombic
volume	34.92	Å³/atom
total DFT energy (no corrections)	-93.6	eV per cell

***

[3]
Here is LaY2Zr after structural relaxation from the Alexandria database. Energies are from PBE.

Unit cell a=4.6881 b=4.6881 c=11.8998 alpha=78.64 beta=78.64 gamma=90.00
Fractional coordinates of all 8 atoms:
1 Zr 0.2500 0.7500 0.5000
2 Zr 0.5000 0.5000 0.0000
3 Y 0.8750 0.8633 0.7500
4 Y 0.6133 0.1250 0.2500
5 Y 0.3750 0.3867 0.7500
6 Y 0.1367 0.6250 0.2500
7 La 0.7500 0.2500 0.5000
8 La 0.0000 0.0000 0.0000

Summary:
energy of formation from the pure elements	508	meV per atom
crystal system	tetragonal
volume	31.40	Å³/atom
total DFT energy (no corrections)	-48.7	eV per cell

***

[4]
Here is PuTl2GeO6 after structural relaxation from the Alexandria database. Energies are from PBE.

Unit cell a=6.0358 b=6.0358 c=10.3357 alpha=73.02 beta=73.02 gamma=60.00
Fractional coordinates of all 20 atoms:
1 O 0.5983 0.5983 0.6381
2 O 0.7856 0.3043 0.1245
3 O 0.6957 0.2144 0.8755
4 O 0.2144 0.2144 0.8755
5 O 0.4017 0.4017 0.3619
6 O 0.5983 0.1654 0.6381
7 O 0.1654 0.5983 0.6381
8 O 0.3043 0.7856 0.1245
9 O 0.8346 0.4017 0.3619
10 O 0.7856 0.7856 0.1245
11 O 0.4017 0.8346 0.3619
12 O 0.2144 0.6957 0.8755
13 Pu 0.5000 0.5000 0.5000
14 Pu 0.0000 0.0000 0.0000
15 Tl 0.2776 0.2776 0.1673
16 Tl 0.8737 0.8737 0.3790
17 Tl 0.1263 0.1263 0.6210
18 Tl 0.7224 0.7224 0.8327
19 Ge 0.5987 0.5987 0.2040
20 Ge 0.4013 0.4013 0.7960

Summary:
crystal system	trigonal
formation energy (no corrections)	-1.5942	eV per atom
volume	15.35	Å³/atom
total DFT energy (no corrections)	-138.7	eV per cell

***

[5]
Here is TlIrPt after structural relaxation from the Alexandria database. Energies are from PBE.

Unit cell a=6.2164 b=6.2164 c=6.2164 alpha=152.06 beta=152.06 gamma=39.93
Fractional coordinates of all 3 atoms:
1 Tl 0.6638 0.6638 0.0000
2 Ir 0.9953 0.9953 0.0000
3 Pt 0.3409 0.3409 0.0000

Summary:
energy of formation from the pure elements	412	meV per atom
crystal system	tetragonal
volume	17.55	Å³/atom
total DFT energy (no corrections)	-16.0	eV per cell

***

[6]
Here is ScTa2Au after structural relaxation from the Alexandria database. Energies are from PBE.

Unit cell a=5.0358 b=2.9101 c=5.2041 alpha=81.01 beta=90.00 gamma=90.00
Fractional coordinates of all 4 atoms:
1 Ta 0.0000 0.0304 0.9959
2 Ta 0.0000 0.4696 0.5041
3 Au 0.5000 0.2500 0.2500
4 Sc 0.5000 0.7500 0.7500

Summary:
energy of formation from the pure elements	6	meV per atom
crystal system	monoclinic
volume	18.83	Å³/atom
total DFT energy (no corrections)	-33.3	eV per cell

***

[7]
Here is PaAsN2 after structural relaxation from the Alexandria database. Energies are from PBE.

Unit cell a=3.6153 b=3.6153 c=6.5777 alpha=74.05 beta=74.05 gamma=60.00
Fractional coordinates of all 4 atoms:
1 As 0.0000 0.0000 0.0000
2 Pa 0.5000 0.5000 0.5000
3 N 0.1159 0.1159 0.6524
4 N 0.8841 0.8841 0.3476

Summary:
crystal system	trigonal
formation energy (no corrections)	-0.7511	eV per atom
volume	17.65	Å³/atom
total DFT energy (no corrections)	-33.8	eV per cell

***

[8]
Here is Ho2CuRu after structural relaxation from the Alexandria database. Energies are from PBE.

Unit cell a=4.8171 b=4.8171 c=4.8359 alpha=60.20 beta=60.20 gamma=90.12
Fractional coordinates of all 4 atoms:
1 Cu 0.2500 0.7500 0.5000
2 Ho 0.0000 0.0000 0.0000
3 Ho 0.5000 0.5000 0.0000
4 Ru 0.7500 0.2500 0.5000

Summary:
energy of formation from the pure elements	-364	meV per atom
crystal system	orthorhombic
volume	19.93	Å³/atom
total DFT energy (no corrections)	-24.0	eV per cell

***

[9]
Here is Er3CdOs after structural relaxation from the Alexandria database. Energies are from PBE.

Unit cell a=5.7834 b=5.7834 c=8.6709 alpha=101.95 beta=101.95 gamma=112.29
Fractional coordinates of all 10 atoms:
1 Er 0.2986 0.7986 0.0972
2 Er 0.7014 0.2014 0.9028
3 Er 0.3004 0.4221 0.7225
4 Er 0.6996 0.5779 0.2775
5 Er 0.9221 0.8004 0.7225
6 Er 0.0779 0.1996 0.2775
7 Cd 0.2904 0.7904 0.5000
8 Cd 0.7096 0.2096 0.5000
9 Os 0.2500 0.2500 0.0000
10 Os 0.7500 0.7500 0.0000

Summary:
energy of formation from the pure elements	-321	meV per atom
crystal system	orthorhombic
volume	24.91	Å³/atom
total DFT energy (no corrections)	-54.9	eV per cell

***

[10]
Here is NaSc2N after structural relaxation from the Alexandria database. Energies are from PBE.

Unit cell a=9.1876 b=9.1876 c=9.1876 alpha=20.31 beta=20.31 gamma=20.31
Fractional coordinates of all 4 atoms:
1 N 0.5000 0.5000 0.5000
2 Sc 0.1222 0.1222 0.1222
3 Sc 0.8778 0.8778 0.8778
4 Na 0.0000 0.0000 0.0000

Summary:
crystal system	trigonal
formation energy (no corrections)	-0.7723	eV per atom
volume	20.44	Å³/atom
total DFT energy (no corrections)	-25.4	eV per cell

***

[11]
Here is Pm4ZnRh4 after structural relaxation from the Alexandria database. Energies are from PBE.

Unit cell a=5.6338 b=8.5724 c=8.5724 alpha=90.00 beta=90.00 gamma=90.00
Fractional coordinates of all 18 atoms:
1 Rh 0.3874 0.0010 0.6395
2 Rh 0.6126 0.9990 0.3605
3 Rh 0.8874 0.3605 0.5010
4 Rh 0.1126 0.8605 0.0010
5 Rh 0.3874 0.4990 0.8605
6 Rh 0.8874 0.1395 0.9990
7 Rh 0.6126 0.5010 0.1395
8 Rh 0.1126 0.6395 0.4990
9 Pm 0.3854 0.3162 0.5424
10 Pm 0.8854 0.4576 0.8162
11 Pm 0.3854 0.1838 0.9576
12 Pm 0.8854 0.0424 0.6838
13 Pm 0.6146 0.6838 0.4576
14 Pm 0.1146 0.9576 0.3162
15 Pm 0.6146 0.8162 0.0424
16 Pm 0.1146 0.5424 0.1838
17 Zn 0.2500 0.7500 0.7500
18 Zn 0.7500 0.2500 0.2500

Summary:
energy of formation from the pure elements	-567	meV per atom
crystal system	tetragonal
volume	23.00	Å³/atom
total DFT energy (no corrections)	-109.6	eV per cell

***

[12]
Here is Ba2FeSe after structural relaxation from the Alexandria database. Energies are from PBE.

Unit cell a=8.4223 b=8.4223 c=7.4894 alpha=55.79 beta=55.79 gamma=90.00
Fractional coordinates of all 8 atoms:
1 Se 0.7500 0.2500 0.5000
2 Se 0.0000 0.0000 0.0000
3 Ba 0.1189 0.6250 0.2500
4 Ba 0.6311 0.1250 0.2500
5 Ba 0.8750 0.8811 0.7500
6 Ba 0.3750 0.3689 0.7500
7 Fe 0.2500 0.7500 0.5000
8 Fe 0.5000 0.5000 0.0000

Summary:
crystal system	tetragonal
formation energy (no corrections)	-0.1815	eV per atom
volume	40.27	Å³/atom
total DFT energy (no corrections)	-33.0	eV per cell